# LiMn2B8O14

Crystalline LiMn2B8O14 at its relaxed geometry (PBE+U, Alexandria).

## Properties
Space-group type = Amm2 (38)
Polymorph energy (0 for the lowest one) = 0.062 eV per atom
Uncorrected energy = -7.68 eV per atom
Crystal system = orthorhombic
Total magnetization = 8.998 μB/f.u.

Lattice parameters (Å, degrees): 5.252 6.487 6.487 115.86 90.00 90.00
Element x y z (fractional)
Li (0.000, 0.000, 0.000)
Mn (0.000, 0.338, 0.338)
Mn (0.500, 0.747, 0.747)
B (0.000, 0.624, 0.871)
B (0.000, 0.871, 0.624)
B (0.254, 0.255, 0.836)
B (0.254, 0.836, 0.255)
B (0.500, 0.212, 0.450)
B (0.500, 0.450, 0.212)
B (0.746, 0.255, 0.836)
B (0.746, 0.836, 0.255)
O (0.000, 0.361, 0.787)
O (0.000, 0.659, 0.659)
O (0.000, 0.787, 0.361)
O (0.224, 0.006, 0.738)
O (0.224, 0.738, 0.006)
O (0.276, 0.081, 0.354)
O (0.276, 0.354, 0.081)
O (0.500, 0.302, 0.729)
O (0.500, 0.433, 0.433)
O (0.500, 0.729, 0.302)
O (0.724, 0.081, 0.354)
O (0.724, 0.354, 0.081)
O (0.776, 0.006, 0.738)
O (0.776, 0.738, 0.006)